A plane-wave DFT calculation with GGA-PBE was carried out for a relaxed Cr2TcNiN crystal.

Unit cell a=3.7877 b=3.7877 c=3.9691 alpha=90.00 beta=90.00 gamma=90.00
Site moments in Bohr magnetons follow the coordinates.
Atoms (fractional coordinates):
Ni 0.5000 0.5000 0.5000  0.03
N 0.0000 0.0000 0.0000  -0.02
Tc 0.0000 0.0000 0.5000  -0.12
Cr 0.0000 0.5000 0.0000  0.50
Cr 0.5000 0.0000 0.0000  0.50

Results
ΔE_f (raw) (eV/atom): -0.07
Final energy (eV per atom): -8.818
Theoretical density (kg/m³): 8010
DOS at the Fermi energy (states/eV/cell): 6.5